A plane-wave DFT calculation with GGA-PBE was carried out for a relaxed structure of OsAuSe2.

## Properties
total magnetization = 0.00 μB/cell
crystal system = orthorhombic
formation energy from raw total energies = 0.50 eV/atom
VASP energy = -38.9 eV per cell

a = 2.8863 Å, b = 5.0443 Å, c = 10.8595 Å
α = 90.00°, β = 90.00°, γ = 90.00°
With the nearest neighbours (Å) after each atom.
Space group Cmmm (No. 65)
Asymmetric unit:
Os: 0.0000 0.0000 0.0000 x2  4 Se 2.55
Au: 0.0000 0.0000 0.5000 x2  6 Au 2.89-2.91
Se: 0.0000 0.5000 0.1940 x4  2 Os 2.55

---

A plane-wave DFT calculation with GGA-PBE was carried out for a relaxed structure of TaAs4W.

## Properties
total magnetization = 0.00 μB/cell
crystal system = cubic
VASP energy = -150.9 eV per cell

a = 7.5178 Å, b = 7.5178 Å, c = 7.5178 Å
α = 90.00°, β = 90.00°, γ = 90.00°
With the nearest neighbours (Å) after each atom.
Space group F-43m (No. 216)
Asymmetric unit:
Ta: 0.0000 0.0000 0.0000 x4  12 As 3.12, 4 W 3.26
As: 0.1249 0.1249 0.3751 x16  6 As 2.66
W: 0.2500 0.2500 0.7500 x4  12 As 3.12, 4 Ta 3.26

---

A plane-wave DFT calculation with GGA-PBE was carried out for a relaxed structure of K3Cd3Au8.

## Properties
total magnetization = 0.00 μB/cell
crystal system = orthorhombic
VASP energy = -70.0 eV per cell

a = 4.7969 Å, b = 10.0431 Å, c = 14.1665 Å
α = 90.00°, β = 90.00°, γ = 90.00°
With the nearest neighbours (Å) after each atom.
Space group Immm (No. 71)
Asymmetric unit:
K: 0.0000 0.0000 0.0000 x2  12 Au 3.37-3.68, 4 Cd 3.77
K: 0.0000 0.0000 0.2940 x4  10 Au 3.29-3.64, 2 Cd 3.61
Cd: 0.0000 0.2109 0.5000 x4  6 Au 2.84-3.01
Cd: 0.0000 0.5000 0.0000 x2  4 Au 2.84
Au: 0.0000 0.2826 0.1280 x8  3 Cd 2.84-3.01, 3 Au 2.85-2.96
Au: 0.0000 0.3593 0.3296 x8  4 Au 2.83-2.96, 1 Cd 2.84

---

A plane-wave DFT calculation with GGA-PBE was carried out for a relaxed structure of NbP2Ir.

## Properties
total magnetization = 0.00 μB/cell
crystal system = tetragonal
VASP energy = -122.4 eV per cell

a = 5.5811 Å, b = 5.5811 Å, c = 10.2329 Å
α = 90.00°, β = 90.00°, γ = 90.00°
With the nearest neighbours (Å) after each atom.
Space group I-42d (No. 122)
Asymmetric unit:
Nb: 0.0000 0.0000 0.0000 x4  4 P 2.44
P: 0.2244 0.2500 0.6250 x8  2 Ir 2.27, 2 Nb 2.44
Ir: 0.0000 0.0000 0.5000 x4  4 P 2.27

---

A plane-wave DFT calculation with GGA-PBE was carried out for a relaxed structure of Ce4Se5F2.

## Properties
total magnetization = 8.01 μB/cell
crystal system = monoclinic
formation energy from raw total energies = -2.19 eV/atom
VASP energy = -138.0 eV per cell

a = 17.7584 Å, b = 4.2414 Å, c = 7.9985 Å
α = 90.00°, β = 103.18°, γ = 90.00°
With the nearest neighbours (Å) after each atom.
Space group C2/m (No. 12)
Asymmetric unit:
Ce: 0.0150 0.0000 0.2537 x4  2 F 2.44
Ce: 0.2092 0.5000 0.2203 x4  1 F 2.60
Se: 0.0000 0.5000 0.5000 x2  4 Ce 2.95, 2 F 3.14
Se: 0.1528 0.0000 0.9523 x4  4 Ce 3.02-3.08, 2 F 3.35
Se: 0.1710 0.0000 0.4467 x4  4 Ce 2.85-3.01
F: 0.0589 0.5000 0.1581 x4  3 Ce 2.44-2.60

---

A plane-wave DFT calculation with GGA-PBE was carried out for a relaxed structure of LiTmPtPb.

## Properties
total magnetization = 0.00 μB/cell
crystal system = cubic
VASP energy = -76.2 eV per cell

a = 6.7806 Å, b = 6.7806 Å, c = 6.7806 Å
α = 90.00°, β = 90.00°, γ = 90.00°
With the nearest neighbours (Å) after each atom.
Space group F-43m (No. 216)
Asymmetric unit:
Li: 0.0000 0.0000 0.0000 x4  4 Pb 2.94, 4 Tm 2.94
Tm: 0.2500 0.2500 0.7500 x4  4 Li 2.94, 4 Pt 2.94
Pt: 0.0000 0.0000 0.5000 x4  4 Pb 2.94, 4 Tm 2.94
Pb: 0.2500 0.2500 0.2500 x4  4 Li 2.94, 4 Pt 2.94